(1)
This record from Alexandria describes a relaxed ErTiZnHg crystal. The functional is GGA-PBE.

Geometry as POSCAR:
```
ErTiZnHg
1.0
6.920 0.000 0.000
0.000 6.920 0.000
0.000 0.000 6.920
Er Ti Zn Hg
4 4 4 4
Cartesian
0.000 0.000 0.000
0.000 3.460 3.460
3.460 0.000 3.460
3.460 3.460 0.000
0.000 0.000 3.460
0.000 3.460 0.000
3.460 0.000 0.000
3.460 3.460 3.460
1.730 1.730 5.190
1.730 5.190 1.730
5.190 1.730 1.730
5.190 5.190 5.190
1.730 1.730 1.730
1.730 5.190 5.190
5.190 1.730 5.190
5.190 5.190 1.730
```

Calculated values
DFT formation energy (kJ/mol of atoms): -15
Theoretical density (g cm⁻³): 9.6
Volume (A^3/atom): 20.71
Space-group type: F-43m (216)
Total magnetization (μB/f.u.): 1.65
Electronic total energy (eV/atom): -3.664

---

(2)
This record from Alexandria describes a relaxed Er2TlHg9 crystal. The functional is GGA-PBE.

Geometry as POSCAR:
```
Er2TlHg9
1.0
4.540 0.000 0.000
0.000 4.540 0.000
0.000 0.000 14.747
Er Tl Hg
2 1 9
Cartesian
0.000 0.000 2.443
0.000 0.000 12.304
0.000 0.000 7.374
0.000 2.270 0.000
0.000 2.270 4.705
0.000 2.270 10.042
2.270 0.000 0.000
2.270 0.000 4.705
2.270 0.000 10.042
2.270 2.270 2.241
2.270 2.270 7.374
2.270 2.270 12.507
```

Calculated values
DFT formation energy (kJ/mol of atoms): -19
Theoretical density (g cm⁻³): 12.8
Volume (A^3/atom): 25.33
Space-group type: P4/mmm (123)
Total magnetization (μB/f.u.): 0.00
Electronic total energy (eV/atom): -1.378

---

(3)
This record from Alexandria describes a relaxed ErTlHg2 crystal. The functional is GGA-PBE.

Geometry as POSCAR:
```
ErTlHg2
1.0
3.838 0.000 0.000
0.000 3.838 0.000
0.000 0.000 7.074
Er Tl Hg
1 1 2
Cartesian
0.000 0.000 0.000
0.000 0.000 3.537
1.919 1.919 1.642
1.919 1.919 5.433
```

Calculated values
DFT formation energy (kJ/mol of atoms): -23
Theoretical density (g cm⁻³): 12.3
Volume (A^3/atom): 26.05
Space-group type: P4/mmm (123)
Total magnetization (μB/f.u.): 0.00
Electronic total energy (eV/atom): -2.122

---

(4)
This record from Alexandria describes a relaxed Er2TlHg4 crystal. The functional is GGA-PBE.

Geometry as POSCAR:
```
Er2TlHg4
1.0
5.712 0.000 0.000
0.000 5.712 0.000
0.000 0.000 12.132
Er Tl Hg
4 2 8
Cartesian
0.000 0.000 1.725
0.000 0.000 10.407
2.856 2.856 4.341
2.856 2.856 7.791
0.000 0.000 6.066
2.856 2.856 0.000
0.000 2.856 0.000
0.000 2.856 3.033
0.000 2.856 6.066
0.000 2.856 9.099
2.856 0.000 0.000
2.856 0.000 3.033
2.856 0.000 6.066
2.856 0.000 9.099
```

Calculated values
DFT formation energy (kJ/mol of atoms): -7
Theoretical density (g cm⁻³): 11.3
Volume (A^3/atom): 28.27
Space-group type: I4/mmm (139)
E above lowest polymorph (eV/atom): 0.1830
Total magnetization (μB/f.u.): 0.00
Electronic total energy (eV/atom): -1.883

---

(5)
This record from Alexandria describes a relaxed Er4Tl2Hg crystal. The functional is GGA-PBE.

Geometry as POSCAR:
```
Er4Tl2Hg
1.0
2.605 1.504 8.513
-2.605 1.504 8.513
0.000 -3.008 8.513
Er Tl Hg
4 2 1
Cartesian
0.000 0.000 3.137
0.000 0.000 9.556
0.000 0.000 15.983
0.000 0.000 22.402
0.000 0.000 6.459
0.000 0.000 19.079
0.000 0.000 12.769
```

Calculated values
DFT formation energy (kJ/mol of atoms): -23
Theoretical density (g cm⁻³): 10.6
Volume (A^3/atom): 28.60
Space-group type: R-3m (166)
E above lowest polymorph (eV/atom): 0.0000
Total magnetization (μB/f.u.): 0.00
Electronic total energy (eV/atom): -3.565

---

(6)
This record from Alexandria describes a relaxed Er2TlHg4 crystal. The functional is GGA-PBE.

Geometry as POSCAR:
```
Er2TlHg4
1.0
2.617 1.511 7.441
-2.617 1.511 7.441
0.000 -3.022 7.441
Er Tl Hg
2 1 4
Cartesian
0.000 0.000 4.920
0.000 0.000 17.402
0.000 0.000 11.161
0.000 0.000 1.712
0.000 0.000 7.993
0.000 0.000 14.329
0.000 0.000 20.610
```

Calculated values
DFT formation energy (kJ/mol of atoms): -24
Theoretical density (g cm⁻³): 12.6
Volume (A^3/atom): 25.22
Space-group type: R-3m (166)
E above lowest polymorph (eV/atom): 0.0000
Total magnetization (μB/f.u.): 0.00
Electronic total energy (eV/atom): -2.066

---

(7)
This record from Alexandria describes a relaxed Er4Tl5Hg crystal. The functional is GGA-PBE.

Geometry as POSCAR:
```
Er4Tl5Hg
1.0
8.681 -2.503 0.000
8.681 2.503 0.000
-2.065 0.000 6.127
Er Tl Hg
4 5 1
Cartesian
0.789 0.000 2.066
3.428 0.000 5.408
11.868 0.000 0.719
14.508 0.000 4.061
0.106 0.000 5.204
4.332 0.000 2.368
7.648 0.000 3.064
10.964 0.000 3.759
15.190 0.000 0.923
8.681 0.000 0.000
```

Calculated values
DFT formation energy (kJ/mol of atoms): -27
Theoretical density (g cm⁻³): 11.8
Volume (A^3/atom): 26.62
Space-group type: C2/m (12)
E above lowest polymorph (eV/atom): 0.0000
Total magnetization (μB/f.u.): 0.00
Electronic total energy (eV/atom): -3.317

---

(8)
This record from Alexandria describes a relaxed Er11Tl4Hg9 crystal. The functional is GGA-PBE.

Geometry as POSCAR:
```
Er11Tl4Hg9
1.0
8.011 -10.648 0.000
8.011 10.648 0.000
0.000 0.000 3.620
Er Tl Hg
11 4 9
Cartesian
0.000 0.000 0.000
3.706 3.646 0.000
8.011 6.751 0.000
3.585 0.000 0.000
8.011 3.019 0.000
3.706 -3.646 0.000
12.317 3.646 0.000
8.011 -3.019 0.000
12.437 0.000 0.000
8.011 -6.751 0.000
12.317 -3.646 0.000
5.583 1.758 1.810
5.583 -1.758 1.810
10.440 1.758 1.810
10.440 -1.758 1.810
1.717 1.928 1.810
6.073 4.989 1.810
1.717 -1.928 1.810
9.950 4.989 1.810
8.011 0.000 1.810
6.073 -4.989 1.810
14.306 1.928 1.810
9.950 -4.989 1.810
14.306 -1.928 1.810
```

Calculated values
DFT formation energy (kJ/mol of atoms): -36
Theoretical density (g cm⁻³): 12.0
Volume (A^3/atom): 25.73
Space-group type: Cmmm (65)
Total magnetization (μB/f.u.): 0.73
Electronic total energy (eV/atom): -2.971

---

(9)
This record from Alexandria describes a relaxed Er3Tl3Hg2 crystal. The functional is GGA-PBE.

Geometry as POSCAR:
```
Er3Tl3Hg2
1.0
8.245 0.000 0.000
-4.123 7.141 0.000
0.000 0.000 3.572
Er Tl Hg
3 3 2
Cartesian
-1.584 2.743 0.000
3.168 0.000 0.000
2.539 4.397 0.000
-3.137 5.433 1.786
0.986 1.707 1.786
6.274 0.000 1.786
0.000 4.760 1.786
4.123 2.380 1.786
```

Calculated values
DFT formation energy (kJ/mol of atoms): -30
Theoretical density (g cm⁻³): 12.0
Volume (A^3/atom): 26.29
Space-group type: P-62m (189)
Total magnetization (μB/f.u.): 0.00
Electronic total energy (eV/atom): -2.982

---

(10)
This record from Alexandria describes a relaxed Er4Tl3Hg crystal. The functional is GGA-PBE.

Geometry as POSCAR:
```
Er4Tl3Hg
1.0
3.747 0.000 0.000
0.000 3.747 0.000
0.000 0.000 15.037
Er Tl Hg
4 3 1
Cartesian
0.000 0.000 1.776
0.000 0.000 5.600
0.000 0.000 9.437
0.000 0.000 13.261
1.874 1.874 3.692
1.874 1.874 7.519
1.874 1.874 11.345
1.874 1.874 0.000
```

Calculated values
DFT formation energy (kJ/mol of atoms): -34
Theoretical density (g cm⁻³): 11.7
Volume (A^3/atom): 26.39
Space-group type: P4/mmm (123)
E above lowest polymorph (eV/atom): 0.0000
Total magnetization (μB/f.u.): 0.00
Electronic total energy (eV/atom): -3.563

---

(11)
This record from Alexandria describes a relaxed Er2TlHg2 crystal. The functional is GGA-PBE.

Geometry as POSCAR:
```
Er2TlHg2
1.0
5.065 0.000 0.000
-2.532 4.386 0.000
0.000 0.000 6.400
Er Tl Hg
2 1 2
Cartesian
0.000 2.924 1.182
2.532 1.462 5.218
0.000 0.000 0.000
0.000 2.924 4.230
2.532 1.462 2.169
```

Calculated values
DFT formation energy (kJ/mol of atoms): -24
Theoretical density (g cm⁻³): 11.0
Volume (A^3/atom): 28.43
Space-group type: P-3m1 (164)
E above lowest polymorph (eV/atom): 0.1060
Total magnetization (μB/f.u.): 0.00
Electronic total energy (eV/atom): -2.671

---

(12)
This record from Alexandria describes a relaxed Er2Tl4Hg crystal. The functional is GGA-PBE.

Geometry as POSCAR:
```
Er2Tl4Hg
1.0
5.783 0.000 0.000
0.000 5.783 0.000
0.000 0.000 12.739
Er Tl Hg
4 8 2
Cartesian
0.000 0.000 1.802
0.000 0.000 10.937
2.892 2.892 4.568
2.892 2.892 8.172
0.000 2.892 0.000
0.000 2.892 3.185
0.000 2.892 6.370
0.000 2.892 9.554
2.892 0.000 0.000
2.892 0.000 3.185
2.892 0.000 6.370
2.892 0.000 9.554
0.000 0.000 6.370
2.892 2.892 0.000
```

Calculated values
DFT formation energy (kJ/mol of atoms): 3
Theoretical density (g cm⁻³): 10.5
Volume (A^3/atom): 30.43
Space-group type: I4/mmm (139)
Total magnetization (μB/f.u.): 0.00
Electronic total energy (eV/atom): -2.667

---

- Which value of volume does entry 4 give?
  28.27 A^3/atom